Entry from Alexandria: a relaxed structure of AgSb2Rh (PBE).

The space group is P4/mmm (No. 123) and the conventional cell measures 4.6950, 4.6950 and 3.6748 Å, with angles of 90.00, 90.00 and 90.00 degrees. The inequivalent atoms are Ag at (0.0000, 0.0000, 0.0000), Sb at (0.0000, 0.5000, 0.5000) and Rh at (0.5000, 0.5000, 0.0000).

The magnetization comes out at 0.00 μB per cell. For the volume, the calculation gives 81.0 Å³/cell. For the mass density, the calculation gives 9.3 g cm⁻³. The value obtained for the energy relative to the elements, uncorrected is 63 meV/atom. The polymorph energy (0 for the lowest one) is 0.150 eV/atom.